# 1
DFT (GGA-PBE) results for a relaxed Tb10Pm4Pr crystal.

Unit cell a=9.8590 b=9.8590 c=10.9630 alpha=90.00 beta=90.00 gamma=90.00
Last column: nearest neighbours and their distance in Å.
Space group I4/m (No. 87)
Unique sites:
1 Tb 0.0000 0.5000 0.2500 (multiplicity 4)  4 Tb 3.15, 4 Pm 3.49
2 Tb 0.1227 0.2193 0.1690 (multiplicity 16)  1 Pr 3.09, 2 Tb 3.13-3.15
3 Pm 0.0540 0.2883 0.5000 (multiplicity 8)  8 Tb 3.49-3.88
4 Pr 0.0000 0.0000 0.0000 (multiplicity 2)  8 Tb 3.09


# 2
DFT (GGA-PBE) results for a relaxed Tb2PmPr6 crystal.

Distance to the lowest polymorph of the same formula: 0 meV/atom

Unit cell a=11.0118 b=11.0118 c=5.2079 alpha=90.00 beta=90.00 gamma=90.00
Last column: nearest neighbours and their distance in Å.
Space group P4_2/mnm (No. 136)
Unique sites:
1 Tb 0.1667 0.1667 0.0000 (multiplicity 4)  10 Pr 3.66-3.69, 2 Pm 3.68
2 Pm 0.0000 0.0000 0.5000 (multiplicity 2)  8 Pr 3.65-3.66, 4 Tb 3.68
3 Pr 0.0011 0.6682 0.5000 (multiplicity 8)  1 Pm 3.65, 3 Tb 3.66-3.67, 8 Pr 3.66-3.70
4 Pr 0.1656 0.8344 0.0000 (multiplicity 4)  4 Tb 3.66-3.69, 6 Pr 3.66-3.69, 2 Pm 3.66


# 3
DFT (GGA-PBE) results for a relaxed TbPm4Pr2 crystal.

Distance to the lowest polymorph of the same formula: 0 meV/atom

Unit cell a=3.6565 b=3.6565 c=62.6156 alpha=90.00 beta=90.00 gamma=120.00
Last column: nearest neighbours and their distance in Å.
Space group R-3m (No. 166, hexagonal axes)
Unique sites:
1 Tb 0.0000 0.0000 0.0000 (multiplicity 3)  6 Pm 3.60, 6 Tb 3.66
2 Pm 0.0000 0.0000 0.1430 (multiplicity 6)  9 Pm 3.64-3.66, 3 Pr 3.68
3 Pm 0.0000 0.0000 0.2868 (multiplicity 6)  3 Tb 3.60, 6 Pm 3.66, 3 Pr 3.69
4 Pr 0.0000 0.0000 0.4282 (multiplicity 6)  6 Pr 3.66, 6 Pm 3.68-3.69


# 4
DFT (GGA-PBE) results for a relaxed Tb6PmPr8 crystal.

Distance to the lowest polymorph of the same formula: 0 meV/atom

Unit cell a=9.9198 b=9.9198 c=18.2259 alpha=90.00 beta=90.00 gamma=120.00
Last column: nearest neighbours and their distance in Å.
Space group R-3 (No. 148, hexagonal axes)
Unique sites:
1 Tb 0.0391 0.2834 0.1771 (multiplicity 18)  2 Pr 3.12-3.41, 1 Pm 3.45, 2 Tb 3.47
2 Pm 0.0000 0.0000 0.5000 (multiplicity 3)  6 Tb 3.45, 6 Pr 3.80
3 Pr 0.0000 0.0000 0.0855 (multiplicity 6)  1 Pr 3.12, 3 Tb 3.12
4 Pr 0.0545 0.2410 0.6709 (multiplicity 18)  4 Tb 3.41-3.81, 4 Pr 3.72-3.76, 1 Pm 3.80


# 5
DFT (GGA-PBE) results for a relaxed Tb2Pm8Pr3 crystal.

Distance to the lowest polymorph of the same formula: 68 meV/atom

Unit cell a=20.5654 b=7.7604 c=5.8067 alpha=90.00 beta=90.07 gamma=90.00
Last column: nearest neighbours and their distance in Å.
Space group C2/m (No. 12)
Unique sites:
1 Tb 0.2418 0.0000 0.4975 (multiplicity 4)  8 Pm 3.38-3.64
2 Pm 0.1081 0.2916 0.5004 (multiplicity 8)  1 Pr 3.17, 1 Pm 3.23, 1 Tb 3.48
3 Pm 0.1359 0.0000 0.9989 (multiplicity 4)  2 Pr 3.59, 2 Tb 3.62-3.64, 7 Pm 3.72-3.96
4 Pm 0.1742 0.5000 0.0020 (multiplicity 4)  2 Tb 3.38, 4 Pm 3.58-3.60
5 Pr 0.0000 0.0000 0.5000 (multiplicity 2)  4 Pm 3.17
6 Pr 0.0000 0.2893 0.0000 (multiplicity 4)  1 Pr 3.27, 6 Pm 3.59-3.66


# 6
DFT (GGA-PBE) results for a relaxed TbPm2Pr3 crystal.

Distance to the lowest polymorph of the same formula: 52 meV/atom

Unit cell a=13.5148 b=3.5911 c=17.9471 alpha=90.00 beta=102.20 gamma=90.00
Last column: nearest neighbours and their distance in Å.
Space group C2/m (No. 12)
Unique sites:
1 Tb 0.0428 0.0000 0.1802 (multiplicity 4)  4 Pm 3.58-3.67, 2 Tb 3.59, 5 Pr 3.62-3.80
2 Pm 0.1313 0.0000 0.0006 (multiplicity 4)  3 Pr 3.49-3.62, 5 Pm 3.55-3.68, 2 Tb 3.58-3.67
3 Pm 0.1981 0.5000 0.3351 (multiplicity 4)  7 Pr 3.41-3.70, 2 Tb 3.59, 2 Pm 3.59
4 Pr 0.0636 0.5000 0.6672 (multiplicity 4)  3 Pm 3.53-3.70, 8 Pr 3.59-3.87, 2 Tb 3.80
5 Pr 0.1262 0.0000 0.4916 (multiplicity 4)  9 Pr 3.49-3.87, 3 Pm 3.49-3.63
6 Pr 0.2291 0.0000 0.8357 (multiplicity 4)  4 Pm 3.41-3.62, 4 Pr 3.59-3.81, 3 Tb 3.62-3.63


# 7
DFT (GGA-PBE) results for a relaxed Tb4Pm2Pr5 crystal.

Distance to the lowest polymorph of the same formula: 110 meV/atom

Unit cell a=3.5661 b=9.3028 c=23.7283 alpha=90.00 beta=90.00 gamma=90.00
Last column: nearest neighbours and their distance in Å.
Space group Immm (No. 71)
Unique sites:
1 Tb 0.0000 0.0000 0.0963 (multiplicity 4)  1 Pm 3.20, 6 Tb 3.39-3.57, 4 Pr 3.51
2 Tb 0.0000 0.3116 0.5000 (multiplicity 4)  7 Tb 3.39-3.57, 4 Pr 3.40-3.61
3 Pm 0.0000 0.0000 0.2310 (multiplicity 4)  1 Tb 3.20, 2 Pr 3.47, 2 Pm 3.57
4 Pr 0.0000 0.2000 0.3545 (multiplicity 8)  3 Pm 3.47-3.88, 3 Tb 3.51-3.61, 3 Pr 3.57-3.72
5 Pr 0.0000 0.5000 0.0000 (multiplicity 2)  4 Tb 3.40, 2 Pr 3.57


# 8
DFT (GGA-PBE) results for a relaxed Tb2PmPr2 crystal.

Distance to the lowest polymorph of the same formula: 252 meV/atom

Unit cell a=8.7045 b=13.4114 c=6.4402 alpha=90.00 beta=109.49 gamma=90.00
Last column: nearest neighbours and their distance in Å.
Space group C2/c (No. 15)
Unique sites:
1 Tb 0.0000 0.1807 0.2500 (multiplicity 4)  1 Pm 3.33, 4 Pr 3.41-3.61, 2 Tb 3.61
2 Tb 0.0000 0.3019 0.7500 (multiplicity 4)  4 Pr 3.43-3.58, 2 Tb 3.61, 3 Pm 3.61-3.64
3 Pm 0.0000 0.4289 0.2500 (multiplicity 4)  4 Tb 3.33-3.64, 4 Pr 3.34-3.40
4 Pr 0.1774 0.0618 0.9202 (multiplicity 8)  1 Pr 3.13, 2 Pm 3.34-3.40, 2 Tb 3.41-3.43


# 9
DFT (GGA-PBE) results for a relaxed Tb6PmPr2 crystal.

Distance to the lowest polymorph of the same formula: 0 meV/atom

Unit cell a=16.6684 b=11.7165 c=6.1363 alpha=90.00 beta=96.96 gamma=90.00
Last column: nearest neighbours and their distance in Å.
Space group C2/c (No. 15)
Unique sites:
1 Tb 0.0479 0.1381 0.0158 (multiplicity 8)  4 Tb 3.34-3.60, 3 Pr 3.44-3.59, 1 Pm 3.52
2 Tb 0.1169 0.3626 0.3179 (multiplicity 8)  4 Tb 3.34-3.57, 2 Pm 3.39-3.50, 2 Pr 3.51-3.60
3 Tb 0.2128 0.3641 0.8526 (multiplicity 8)  4 Tb 3.38-3.57, 3 Pr 3.42-3.54, 1 Pm 3.55
4 Pm 0.0000 0.3998 0.7500 (multiplicity 4)  8 Tb 3.39-3.55
5 Pr 0.1671 0.1017 0.5805 (multiplicity 8)  10 Tb 3.42-3.82


# 10
DFT (GGA-PBE) results for a relaxed TbPmPr2 crystal.

Distance to the lowest polymorph of the same formula: 5 meV/atom

Unit cell a=3.6626 b=3.6626 c=10.3471 alpha=90.00 beta=90.00 gamma=90.00
Last column: nearest neighbours and their distance in Å.
Space group P4/mmm (No. 123)
Unique sites:
1 Tb 0.0000 0.0000 0.0000 (multiplicity 1)  8 Pr 3.64, 4 Tb 3.66
2 Pm 0.0000 0.0000 0.5000 (multiplicity 1)  4 Pm 3.66, 8 Pr 3.68
3 Pr 0.5000 0.5000 0.2473 (multiplicity 2)  4 Tb 3.64, 4 Pr 3.66, 4 Pm 3.68


# 11
DFT (GGA-PBE) results for a relaxed Tb2Pm2Pr7 crystal.

Distance to the lowest polymorph of the same formula: 219 meV/atom

Unit cell a=6.7858 b=12.3170 c=9.6804 alpha=90.00 beta=90.00 gamma=90.00
Last column: nearest neighbours and their distance in Å.
Space group Cmmm (No. 65)
Unique sites:
1 Tb 0.0000 0.2329 0.0000 (multiplicity 4)  7 Pr 3.29-3.51, 2 Tb 3.42
2 Pm 0.2502 0.0000 0.5000 (multiplicity 4)  2 Pm 3.39-3.40, 6 Pr 3.55
3 Pr 0.0000 0.0000 0.1774 (multiplicity 4)  2 Tb 3.34, 1 Pr 3.44, 2 Pm 3.55
4 Pr 0.0000 0.5000 0.0000 (multiplicity 2)  2 Tb 3.29
5 Pr 0.2500 0.2500 0.3166 (multiplicity 8)  5 Pr 3.39-3.77, 2 Tb 3.51, 2 Pm 3.55


# 12
DFT (GGA-PBE) results for a relaxed TbPm12Pr2 crystal.

Unit cell a=6.5749 b=6.5749 c=25.4681 alpha=90.00 beta=90.00 gamma=90.00
Last column: nearest neighbours and their distance in Å.
Space group P4/nbm (No. 125, origin choice 2)
Unique sites:
1 Tb 0.2500 0.7500 0.0000 (multiplicity 2)  4 Pm 3.37
2 Pm 0.0643 0.5643 0.1136 (multiplicity 8)  1 Tb 3.37, 7 Pm 3.39-3.52
3 Pm 0.0825 0.5825 0.5617 (multiplicity 8)  5 Pm 3.11-3.46
4 Pm 0.2500 0.2500 0.2146 (multiplicity 4)  5 Pm 3.15-3.52
5 Pm 0.2500 0.2500 0.3382 (multiplicity 4)  1 Pm 3.15
6 Pr 0.2500 0.7500 0.2673 (multiplicity 4)  8 Pm 3.55-3.75


# 13
DFT (GGA-PBE) results for a relaxed Tb3Pm2Pr6 crystal.

Distance to the lowest polymorph of the same formula: 0 meV/atom

Unit cell a=6.3451 b=8.1657 c=8.1977 alpha=107.44 beta=97.28 gamma=104.89
Last column: nearest neighbours and their distance in Å.
Space group P-1 (No. 2)
Unique sites:
1 Tb 0.0000 0.0000 0.0000 (multiplicity 1)  2 Tb 3.64, 8 Pr 3.66-3.67, 2 Pm 3.66
2 Tb 0.0900 0.3620 0.8188 (multiplicity 2)  2 Pm 3.64-3.67, 2 Tb 3.64-3.66, 8 Pr 3.64-3.68
3 Pm 0.2708 0.0896 0.4530 (multiplicity 2)  3 Tb 3.64-3.67, 7 Pr 3.64-3.69, 2 Pm 3.65-3.67
4 Pr 0.1802 0.7278 0.6355 (multiplicity 2)  3 Pm 3.64-3.68, 3 Tb 3.66-3.68, 6 Pr 3.66-3.68
5 Pr 0.3635 0.4544 0.2694 (multiplicity 2)  6 Pr 3.63-3.72, 4 Tb 3.64-3.66, 2 Pm 3.67-3.68
6 Pr 0.4532 0.8175 0.0908 (multiplicity 2)  5 Pr 3.63-3.68, 5 Tb 3.64-3.67, 2 Pm 3.65-3.69


# 14
DFT (GGA-PBE) results for a relaxed TbPm5Pr5 crystal.

Distance to the lowest polymorph of the same formula: 173 meV/atom

Unit cell a=6.2735 b=6.2735 c=11.6658 alpha=90.00 beta=90.00 gamma=120.00
Last column: nearest neighbours and their distance in Å.
Space group P-6m2 (No. 187)
Unique sites:
1 Tb 0.0000 0.0000 0.0000 (multiplicity 1)  5 Pm 3.62-3.71
2 Pm 0.0000 0.0000 0.3184 (multiplicity 2)  9 Pr 3.68-3.79, 1 Tb 3.71, 3 Pm 4.07
3 Pm 0.3333 0.6667 0.1589 (multiplicity 2)  7 Pm 3.71-4.07, 3 Pr 3.82, 3 Tb 4.07
4 Pm 0.6667 0.3333 0.0000 (multiplicity 1)  2 Pr 3.07
5 Pr 0.0071 0.5035 0.5000 (multiplicity 3)  6 Pr 3.07-3.32
6 Pr 0.6667 0.3333 0.2634 (multiplicity 2)  1 Pm 3.07, 3 Pr 3.32


# 15
DFT (GGA-PBE) results for a relaxed Tb5Pm4Pr3 crystal.

Distance to the lowest polymorph of the same formula: 0 meV/atom

Unit cell a=6.2842 b=7.2562 c=8.8925 alpha=90.01 beta=90.09 gamma=90.13
Last column: nearest neighbours and their distance in Å.
Space group P-1 (No. 2)
Unique sites:
1 Tb 0.0000 0.0000 0.0000 (multiplicity 1)  4 Pm 3.61-3.63, 4 Tb 3.63, 4 Pr 3.63
2 Tb 0.3349 0.4998 0.3316 (multiplicity 2)  4 Pr 3.61-3.65, 5 Pm 3.61-3.65, 3 Tb 3.61-3.64
3 Tb 0.4992 0.7501 0.9996 (multiplicity 2)  3 Pm 3.61-3.62, 6 Tb 3.61-3.63, 3 Pr 3.62-3.64
4 Pm 0.1685 0.7496 0.6675 (multiplicity 2)  5 Tb 3.61-3.65, 3 Pm 3.62-3.65, 4 Pr 3.62-3.65
5 Pm 0.3325 0.0004 0.3310 (multiplicity 2)  5 Tb 3.61-3.63, 4 Pm 3.62-3.67, 3 Pr 3.63-3.65
6 Pr 0.0000 0.5000 0.0000 (multiplicity 1)  8 Tb 3.62-3.64, 2 Pm 3.63, 2 Pr 3.63
7 Pr 0.1677 0.2501 0.6673 (multiplicity 2)  5 Tb 3.61-3.65, 6 Pm 3.62-3.65, 1 Pr 3.63


# 16
DFT (GGA-PBE) results for a relaxed Tb5PmPr2 crystal.

Distance to the lowest polymorph of the same formula: 0 meV/atom

Unit cell a=7.2167 b=14.4365 c=5.1089 alpha=90.00 beta=90.00 gamma=90.00
Last column: nearest neighbours and their distance in Å.
Space group Pbam (No. 55)
Unique sites:
1 Tb 0.0000 0.0000 0.0000 (multiplicity 2)  6 Tb 3.60-3.62, 2 Pm 3.61, 4 Pr 3.61
2 Tb 0.0010 0.2494 0.0000 (multiplicity 4)  7 Tb 3.60-3.61, 4 Pr 3.60-3.61, 1 Pm 3.62
3 Tb 0.2493 0.6254 0.5000 (multiplicity 4)  4 Pr 3.60-3.62, 6 Tb 3.60-3.62, 2 Pm 3.61
4 Pm 0.0000 0.5000 0.0000 (multiplicity 2)  8 Tb 3.61-3.62, 4 Pr 3.62
5 Pr 0.2489 0.8746 0.5000 (multiplicity 4)  10 Tb 3.60-3.62, 2 Pm 3.62


# 17
DFT (GGA-PBE) results for a relaxed Tb6Pm2Pr3 crystal.

Distance to the lowest polymorph of the same formula: 64 meV/atom

Unit cell a=4.8159 b=4.8159 c=33.3939 alpha=90.00 beta=90.00 gamma=90.00
Last column: nearest neighbours and their distance in Å.
Space group I4/mmm (No. 139)
Unique sites:
1 Tb 0.0000 0.0000 0.1924 (multiplicity 4)  4 Tb 3.41, 5 Pr 3.43-3.46
2 Tb 0.0000 0.5000 0.1201 (multiplicity 8)  6 Tb 3.41, 2 Pm 3.45, 2 Pr 3.69
3 Pm 0.0000 0.0000 0.0460 (multiplicity 4)  1 Pm 3.07
4 Pr 0.0000 0.0000 0.2961 (multiplicity 4)  9 Tb 3.43-3.69
5 Pr 0.0000 0.0000 0.5000 (multiplicity 2)  8 Pm 3.74


# 18
DFT (GGA-PBE) results for a relaxed Tb7PmPr4 crystal.

Distance to the lowest polymorph of the same formula: 162 meV/atom

Unit cell a=12.1846 b=5.9846 c=12.9437 alpha=90.00 beta=118.00 gamma=90.00
Last column: nearest neighbours and their distance in Å.
Space group C2/m (No. 12)
Unique sites:
1 Tb 0.0000 0.0000 0.0000 (multiplicity 2)  2 Pm 2.99, 2 Tb 3.18
2 Tb 0.0691 0.5000 0.3153 (multiplicity 4)  4 Tb 3.30-3.65, 1 Pr 3.69
3 Tb 0.1318 0.0000 0.4960 (multiplicity 4)  4 Tb 3.26-3.65, 5 Pr 3.32-3.61
4 Tb 0.2107 0.5000 0.9229 (multiplicity 4)  1 Pm 3.16, 4 Tb 3.18-3.47, 4 Pr 3.38-3.43
5 Pm 0.0000 0.5000 0.0000 (multiplicity 2)  4 Tb 2.99-3.16
6 Pr 0.1364 0.0000 0.7770 (multiplicity 4)  7 Tb 3.43-3.72, 2 Pr 3.68
7 Pr 0.2251 0.5000 0.6684 (multiplicity 4)  5 Tb 3.32-3.69, 2 Pr 3.68


# 19
DFT (GGA-PBE) results for a relaxed Tb3PmPr2 crystal.

Distance to the lowest polymorph of the same formula: 21 meV/atom

Unit cell a=23.6017 b=3.5323 c=10.4312 alpha=90.00 beta=108.60 gamma=90.00
Last column: nearest neighbours and their distance in Å.
Space group C2/m (No. 12)
Unique sites:
1 Tb 0.0588 0.0000 0.4466 (multiplicity 4)  8 Tb 3.31-3.68, 1 Pr 3.45
2 Tb 0.0691 0.5000 0.7630 (multiplicity 4)  8 Tb 3.53-3.68, 2 Pr 3.68-3.93, 2 Pm 3.74
3 Tb 0.1946 0.0000 0.7153 (multiplicity 4)  3 Pm 3.39-3.60, 5 Tb 3.52-3.62, 3 Pr 3.56-3.58
4 Pm 0.1881 0.0000 0.0358 (multiplicity 4)  5 Tb 3.39-3.74, 3 Pr 3.48-3.79, 4 Pm 3.53-3.69
5 Pr 0.0671 0.5000 0.1379 (multiplicity 4)  5 Pr 3.53-3.61, 4 Tb 3.68-3.93, 2 Pm 3.79
6 Pr 0.1907 0.0000 0.3710 (multiplicity 4)  4 Tb 3.45-3.58, 1 Pm 3.48, 6 Pr 3.53-3.66


# 20
DFT (GGA-PBE) results for a relaxed TbPm6Pr3 crystal.

Distance to the lowest polymorph of the same formula: 79 meV/atom

Unit cell a=11.6324 b=6.8904 c=9.2033 alpha=90.00 beta=107.42 gamma=90.00
Last column: nearest neighbours and their distance in Å.
Space group C2/m (No. 12)
Unique sites:
1 Tb 0.0000 0.0000 0.0000 (multiplicity 2)  10 Pm 3.68-3.91, 4 Pr 3.77
2 Pm 0.1250 0.0000 0.4180 (multiplicity 4)  7 Pm 3.66-4.02, 1 Tb 3.68, 4 Pr 3.90-4.09
3 Pm 0.1878 0.2605 0.8022 (multiplicity 8)  3 Pr 3.21-3.58, 3 Pm 3.30-3.59
4 Pr 0.0000 0.5000 0.5000 (multiplicity 2)  4 Pm 3.41, 2 Pr 3.43
5 Pr 0.0772 0.5000 0.1684 (multiplicity 4)  2 Pr 3.08-3.43, 2 Pm 3.21


no.,calculated formation energy (eV/atom),magnetization (μB/cell),final energy (eV for the cell shown)
1,0.438,0.00,-127.0
2,0.014,0.00,-85.1
3,0.011,0.00,-99.3
4,0.159,0.00,-205.1
5,0.220,0.00,-117.5
6,0.105,0.00,-111.4
7,0.180,0.00,-99.9
8,0.265,0.00,-89.0
9,0.095,0.00,-165.0
10,0.017,0.00,-18.9
11,0.317,0.00,-97.5
12,0.306,0.00,-133.2
13,0.014,0.00,-51.9
14,0.306,0.00,-48.9
15,0.014,0.00,-56.3
16,0.017,0.00,-74.6
17,0.254,0.00,-97.7
18,0.247,0.00,-106.6
19,0.118,0.00,-110.0
20,0.214,0.00,-90.7